A plane-wave DFT calculation with PBE-GGA was carried out for NaSc3Te4O12 after structural relaxation.

Unit cell a=7.0613 b=7.0613 c=7.0613 alpha=104.81 beta=104.81 gamma=104.81
Fractional coordinates of all 20 atoms:
Sc  0.0000  0.5754  0.4246
Sc  0.5754  0.4246  0.0000
Sc  0.4246  0.0000  0.5754
O  0.2935  0.3864  0.0622
O  0.5000  0.3148  0.6852
O  0.6852  0.5000  0.3148
O  0.0767  0.9233  0.5000
O  0.0622  0.2935  0.3864
O  0.7065  0.9378  0.6136
O  0.5000  0.0767  0.9233
O  0.3864  0.0622  0.2935
O  0.9378  0.6136  0.7065
O  0.9233  0.5000  0.0767
O  0.6136  0.7065  0.9378
O  0.3148  0.6852  0.5000
Te  0.9053  0.0947  0.5000
Te  0.0947  0.5000  0.9053
Te  0.5000  0.9053  0.0947
Te  0.5000  0.5000  0.5000
Na  0.0000  0.0000  0.0000

The space group is R32. The calculation puts the formation energy without anion corrections at -1.75 eV per atom. The size of the total moment is 0.0 μB/cell.